A relaxed structure of GeIrRu2. Source: Alexandria, functional PBE-GGA.

E_tot ... -57.58 eV/cell
Total moment ... 0.00 μB per cell

a = 6.835 Å, b = 6.835 Å, c = 6.835 Å
α = 131.62°, β = 131.62°, γ = 70.83°
Element x y z (fractional)
Ge1 0.000 0.000 0.000
Ge2 0.750 0.250 0.500
Ir1 0.250 0.750 0.500
Ir2 0.500 0.500 0.000
Ru1 0.132 0.625 0.007
Ru2 0.375 0.382 0.507
Ru3 0.618 0.125 0.993
Ru4 0.875 0.868 0.493

A relaxed structure of Ge2IrRu. Source: Alexandria, functional PBE-GGA.

E_tot ... -27.79 eV/cell
Total moment ... 0.00 μB per cell

a = 5.580 Å, b = 5.580 Å, c = 5.580 Å
α = 40.06°, β = 40.06°, γ = 40.06°
Element x y z (fractional)
Ge1 0.000 0.000 0.000
Ge2 0.171 0.171 0.171
Ir1 0.576 0.576 0.576
Ru1 0.759 0.759 0.759

A relaxed structure of GeIr2RuS. Source: Alexandria, functional PBE-GGA.

E_tot ... -27.79 eV/cell
Uncorrected formation energy ... 1.590 eV/atom
Total moment ... 3.99 μB per cell

a = 4.581 Å, b = 4.581 Å, c = 4.621 Å
α = 90.00°, β = 90.00°, γ = 90.00°
Element x y z (fractional)
Ge1 0.000 0.000 0.000
Ir1 0.000 0.500 0.000
Ir2 0.500 0.000 0.000
Ru1 0.500 0.500 0.500
S1 0.000 0.000 0.500

A relaxed structure of SiGeIrRu. Source: Alexandria, functional PBE-GGA.

E_tot ... -29.19 eV/cell
Uncorrected formation energy ... -0.254 eV/atom
Total moment ... 0.62 μB per cell

a = 4.278 Å, b = 4.278 Å, c = 4.278 Å
α = 60.00°, β = 60.00°, γ = 60.00°
Element x y z (fractional)
Si1 0.000 0.000 0.000
Ge1 0.500 0.500 0.500
Ir1 0.750 0.750 0.750
Ru1 0.250 0.250 0.250

A relaxed structure of SiGeIrRu2. Source: Alexandria, functional PBE-GGA.

E_tot ... -32.06 eV/cell
Uncorrected formation energy ... 1.078 eV/atom
Total moment ... 0.00 μB per cell

a = 4.326 Å, b = 4.326 Å, c = 4.558 Å
α = 90.00°, β = 90.00°, γ = 90.00°
Element x y z (fractional)
Si1 0.000 0.000 0.000
Ge1 0.000 0.000 0.500
Ir1 0.500 0.500 0.500
Ru1 0.000 0.500 0.000
Ru2 0.500 0.000 0.000

A relaxed structure of SmGe2IrRu. Source: Alexandria, functional PBE-GGA.

E_tot ... -35.80 eV/cell
Total moment ... 0.00 μB per cell

a = 5.906 Å, b = 5.906 Å, c = 5.906 Å
α = 137.93°, β = 137.93°, γ = 61.01°
Element x y z (fractional)
Sm1 0.000 0.000 0.000
Ge1 0.373 0.373 0.000
Ge2 0.627 0.627 0.000
Ir1 0.750 0.250 0.500
Ru1 0.250 0.750 0.500

A relaxed structure of Sn2GeIrRu. Source: Alexandria, functional PBE-GGA.

E_tot ... -26.56 eV/cell
Total moment ... 0.00 μB per cell

a = 5.061 Å, b = 5.061 Å, c = 4.908 Å
α = 90.00°, β = 90.00°, γ = 90.00°
Element x y z (fractional)
Sn1 0.000 0.500 0.000
Sn2 0.500 0.000 0.000
Ge1 0.000 0.000 0.500
Ir1 0.500 0.500 0.000
Ru1 0.500 0.500 0.500

A relaxed structure of SrGe2IrRu. Source: Alexandria, functional PBE-GGA.

E_tot ... -32.05 eV/cell
Total moment ... 0.00 μB per cell

a = 6.105 Å, b = 6.105 Å, c = 6.105 Å
α = 138.87°, β = 138.87°, γ = 59.58°
Element x y z (fractional)
Sr1 0.000 0.000 0.000
Ge1 0.365 0.365 0.000
Ge2 0.635 0.635 0.000
Ir1 0.250 0.750 0.500
Ru1 0.750 0.250 0.500